# 1
TaRe2As | SCAN | single point on PBEsol structure

Cell: 2.9185 2.9185 25.2220 Å, 90.00 90.00 120.00°
Closest atoms and distances in Å follow each position.
Space group R-3m (No. 166, hexagonal axes)
Unique sites:
1 Ta 0.0000 0.0000 0.0000 x3  6 Re 2.77, 6 Ta 2.92
2 Re 0.0000 0.0000 0.2462 x6  3 As 2.62, 3 Ta 2.77, 6 Re 2.92
3 As 0.0000 0.0000 0.5000 x3  6 Re 2.62, 6 As 2.92

Summary:
E_tot   -4.189 Ry per atom
Density of states at the Fermi level   0.767 states/eV/atom
Formation energy from the elements   95 kJ/mol of formula units
Size of the total moment   0.00 μB/f.u.



# 2
TaNi2P | SCAN | single point on PBEsol structure

Cell: 3.5709 2.8450 9.8286 Å, 90.00 90.00 90.00°
Closest atoms and distances in Å follow each position.
Space group Amm2 (No. 38)
Unique sites:
1 Ta 0.0000 0.0000 0.0000 x2  7 Ni 2.53-2.77, 4 P 2.58
2 Ni 0.0000 0.0000 0.7423 x2  2 P 2.14
3 Ni 0.5000 0.0000 0.3582 x2  6 Ni 2.55-2.85, 3 P 2.59-2.72, 4 Ta 2.67
4 P 0.5000 0.0000 0.6219 x2  2 Ni 2.14

Summary:
E_tot   -2.036 Ry per atom
Density of states at the Fermi level   0.404 states/eV/atom
Formation energy from the elements   -144 kJ/mol of formula units
Size of the total moment   0.00 μB/f.u.



# 3
K2NiBr | SCAN | single point on PBEsol structure

Cell: 7.7716 4.3918 8.6332 Å, 90.00 106.61 90.00°
Closest atoms and distances in Å follow each position.
Space group C2/m (No. 12)
Unique sites:
1 K 0.2452 0.0000 0.2382 x4  3 Br 3.23-3.24, 3 Ni 3.35-3.36
2 Ni 0.0000 0.0000 0.5000 x2  6 K 3.35-3.36
3 Br 0.0000 0.5000 0.0000 x2  6 K 3.23-3.24

Summary:
Raw formation energy   -0.40 eV per atom
E_tot   -0.990 Ry per atom
Offset from the most stable computed form   0.007 eV per atom
Size of the total moment   1.00 μB/f.u.